A | {"formula": "AlMo2Pb", "functional": "PBEsol", "state": "relaxed", "lattice": [[-1.993, 1.993, 4.303], [1.993, -1.993, 4.303], [1.993, 1.993, -4.303]], "species": ["Al", "Mo", "Mo", "Pb"], "fractional_positions": [[0.000, 0.000, 0.000], [0.250, 0.750, 0.500], [0.750, 0.250, 0.500], [0.500, 0.500, 0.000]], "spacegroup": "I4/mmm, No. 139", "vol_a3_per_fu": 68.4, "magnetic_moment_mub_per_cell": 0.00}

***

B | {"formula": "AlMo2Pb", "functional": "PBEsol", "state": "relaxed", "lattice": [[-2.032, 2.032, 4.107], [2.032, -2.032, 4.107], [2.032, 2.032, -4.107]], "species": ["Al", "Mo", "Mo", "Pb"], "fractional_positions": [[0.000, 0.000, 0.000], [0.500, 0.500, 0.000], [0.750, 0.250, 0.500], [0.250, 0.750, 0.500]], "spacegroup": "I-4m2, No. 119", "vol_a3_per_fu": 67.8, "magnetic_moment_mub_per_cell": 0.00}

***

Q: Which of them is the most stable? A: B.

***

A | {"formula": "Al2MoPt", "functional": "PBEsol", "state": "relaxed", "lattice": [[0.000, 3.054, 3.054], [3.054, 0.000, 3.054], [3.054, 3.054, 0.000]], "species": ["Al", "Al", "Mo", "Pt"], "fractional_positions": [[0.250, 0.250, 0.250], [0.750, 0.750, 0.750], [0.000, 0.000, 0.000], [0.500, 0.500, 0.500]], "spacegroup": "Fm-3m, No. 225", "vol_a3_per_fu": 57.0, "magnetic_moment_mub_per_cell": 0.00}

***

B | {"formula": "Al2MoPt", "functional": "PBEsol", "state": "relaxed", "lattice": [[2.764, 0.000, 0.000], [0.000, 2.764, 0.000], [0.000, 0.000, 7.646]], "species": ["Al", "Al", "Mo", "Pt"], "fractional_positions": [[0.000, 0.000, 0.238], [0.000, 0.000, 0.762], [0.500, 0.500, 0.500], [0.500, 0.500, 0.000]], "spacegroup": "P4/mmm, No. 123", "vol_a3_per_fu": 58.4, "magnetic_moment_mub_per_cell": 0.00}

***

C | {"formula": "Al2MoPt", "functional": "PBEsol", "state": "relaxed", "lattice": [[4.182, 0.000, 0.000], [0.000, 4.182, 0.000], [0.000, 0.000, 3.297]], "species": ["Al", "Al", "Mo", "Pt"], "fractional_positions": [[0.000, 0.500, 0.000], [0.500, 0.000, 0.000], [0.000, 0.000, 0.500], [0.500, 0.500, 0.500]], "spacegroup": "P4/mmm, No. 123", "vol_a3_per_fu": 57.6, "magnetic_moment_mub_per_cell": 0.00}

***

D | {"formula": "Al2MoPt", "functional": "PBEsol", "state": "relaxed", "lattice": [[2.768, 0.000, 0.000], [0.000, 4.080, 0.000], [-0.218, 0.000, 5.329]], "species": ["Al", "Al", "Mo", "Pt"], "fractional_positions": [[0.066, 0.000, 0.239], [0.934, 0.000, 0.761], [0.500, 0.500, 0.000], [0.000, 0.500, 0.500]], "spacegroup": "P2/m, No. 10", "vol_a3_per_fu": 60.2, "magnetic_moment_mub_per_cell": 0.00}

***

Q: Which of them is the most stable? A: C.

***

A | {"formula": "Al2MoPt", "functional": "PBEsol", "state": "relaxed", "lattice": [[-3.422, 3.422, 2.764], [3.422, -3.422, 2.764], [3.422, 3.422, -2.764]], "species": ["Al", "Al", "Al", "Al", "Mo", "Mo", "Pt", "Pt"], "fractional_positions": [[0.102, 0.625, 0.977], [0.375, 0.352, 0.477], [0.648, 0.125, 0.023], [0.875, 0.898, 0.523], [0.250, 0.750, 0.500], [0.500, 0.500, 0.000], [0.000, 0.000, 0.000], [0.750, 0.250, 0.500]], "spacegroup": "I-42d, No. 122", "vol_a3_per_fu": 64.7, "magnetic_moment_mub_per_cell": 1.35}

***

B | {"formula": "Al2MoPt", "functional": "PBEsol", "state": "relaxed", "lattice": [[-1.742, 1.910, 4.408], [1.742, -1.910, 4.408], [1.742, 1.910, -4.408]], "species": ["Al", "Al", "Mo", "Pt"], "fractional_positions": [[0.000, 0.000, 0.000], [0.743, 0.243, 0.500], [0.252, 0.752, 0.500], [0.503, 0.503, 0.000]], "spacegroup": "Imm2, No. 44", "vol_a3_per_fu": 58.7, "magnetic_moment_mub_per_cell": 0.00}

***

C | {"formula": "Al2MoPt", "functional": "PBEsol", "state": "relaxed", "lattice": [[4.314, 0.000, 0.000], [0.000, 1.363, 4.980], [0.000, -1.363, 4.980]], "species": ["Al", "Al", "Mo", "Pt"], "fractional_positions": [[0.000, 0.000, 0.000], [0.500, 0.159, 0.159], [0.000, 0.740, 0.740], [0.500, 0.415, 0.415]], "spacegroup": "Amm2, No. 38", "vol_a3_per_fu": 58.6, "magnetic_moment_mub_per_cell": 0.00}

***

D | {"formula": "Al2MoPt", "functional": "PBEsol", "state": "relaxed", "lattice": [[0.000, 3.109, 3.109], [3.109, 0.000, 3.109], [3.109, 3.109, 0.000]], "species": ["Al", "Al", "Mo", "Pt"], "fractional_positions": [[0.000, 0.000, 0.000], [0.250, 0.250, 0.250], [0.750, 0.750, 0.750], [0.500, 0.500, 0.500]], "spacegroup": "F-43m, No. 216", "vol_a3_per_fu": 60.1, "magnetic_moment_mub_per_cell": 0.73}

***

Q: Which of them is the most stable? A: B.

***

A | {"formula": "Al2MoRh", "functional": "PBEsol", "state": "relaxed", "lattice": [[0.000, 3.039, 3.039], [3.039, 0.000, 3.039], [3.039, 3.039, 0.000]], "species": ["Al", "Al", "Mo", "Rh"], "fractional_positions": [[0.250, 0.250, 0.250], [0.750, 0.750, 0.750], [0.000, 0.000, 0.000], [0.500, 0.500, 0.500]], "spacegroup": "Fm-3m, No. 225", "vol_a3_per_fu": 56.1, "magnetic_moment_mub_per_cell": 1.38}

***

B | {"formula": "Al2MoRh", "functional": "PBEsol", "state": "relaxed", "lattice": [[-3.370, 3.370, 2.729], [3.370, -3.370, 2.729], [3.370, 3.370, -2.729]], "species": ["Al", "Al", "Al", "Al", "Mo", "Mo", "Rh", "Rh"], "fractional_positions": [[0.102, 0.125, 0.477], [0.375, 0.898, 0.023], [0.648, 0.625, 0.523], [0.875, 0.352, 0.977], [0.250, 0.750, 0.500], [0.500, 0.500, 0.000], [0.000, 0.000, 0.000], [0.750, 0.250, 0.500]], "spacegroup": "I-42d, No. 122", "vol_a3_per_fu": 62.0, "magnetic_moment_mub_per_cell": 0.00}

***

Q: Which of them is the most stable? A: A.

***

A | {"formula": "AlSbMo", "functional": "PBEsol", "state": "relaxed", "lattice": [[4.698, 0.000, 0.000], [-2.349, 4.068, 0.000], [0.000, 0.000, 2.852]], "species": ["Al", "Sb", "Mo"], "fractional_positions": [[0.000, 0.000, 0.000], [0.667, 0.333, 0.499], [0.333, 0.667, 0.501]], "spacegroup": "P3m1, No. 156", "vol_a3_per_fu": 54.5, "magnetic_moment_mub_per_cell": 0.00}

***

B | {"formula": "AlSbMo", "functional": "PBEsol", "state": "relaxed", "lattice": [[-1.716, 1.716, 4.287], [1.716, -1.716, 4.287], [1.716, 1.716, -4.287]], "species": ["Al", "Sb", "Mo"], "fractional_positions": [[0.000, 0.000, 0.000], [0.322, 0.322, 0.000], [0.658, 0.658, 0.000]], "spacegroup": "I4mm, No. 107", "vol_a3_per_fu": 50.5, "magnetic_moment_mub_per_cell": 0.00}

***

Q: Which of them is the most stable? A: B.

***

A | {"formula": "ScAl2Mo", "functional": "PBEsol", "state": "relaxed", "lattice": [[-2.022, 2.022, 3.992], [2.022, -2.022, 3.992], [2.022, 2.022, -3.992]], "species": ["Sc", "Al", "Al", "Mo"], "fractional_positions": [[0.000, 0.000, 0.000], [0.250, 0.750, 0.500], [0.750, 0.250, 0.500], [0.500, 0.500, 0.000]], "spacegroup": "I4/mmm, No. 139", "vol_a3_per_fu": 65.3, "magnetic_moment_mub_per_cell": 0.00}

***

B | {"formula": "ScAl2Mo", "functional": "PBEsol", "state": "relaxed", "lattice": [[0.000, 3.190, 3.190], [3.190, 0.000, 3.190], [3.190, 3.190, 0.000]], "species": ["Sc", "Al", "Al", "Mo"], "fractional_positions": [[0.000, 0.000, 0.000], [0.500, 0.500, 0.500], [0.750, 0.750, 0.750], [0.250, 0.250, 0.250]], "spacegroup": "F-43m, No. 216", "vol_a3_per_fu": 64.9, "magnetic_moment_mub_per_cell": 0.00}

***

Q: Which of them is the most stable? A: A.

***

A | {"formula": "AlSiMo2", "functional": "PBEsol", "state": "relaxed", "lattice": [[3.178, 0.000, 0.000], [0.000, 3.178, 0.000], [0.000, 0.000, 5.663]], "species": ["Al", "Si", "Mo", "Mo"], "fractional_positions": [[0.000, 0.000, 0.000], [0.500, 0.500, 0.751], [0.000, 0.000, 0.515], [0.500, 0.500, 0.251]], "spacegroup": "P4mm, No. 99", "vol_a3_per_fu": 57.2, "magnetic_moment_mub_per_cell": 0.00}

***

B | {"formula": "AlSiMo2", "functional": "PBEsol", "state": "relaxed", "lattice": [[3.216, 0.000, 0.000], [0.000, 4.065, 0.000], [0.000, 0.000, 4.400]], "species": ["Al", "Si", "Mo", "Mo"], "fractional_positions": [[0.000, 0.000, 0.000], [0.500, 0.000, 0.500], [0.000, 0.500, 0.500], [0.500, 0.500, 0.000]], "spacegroup": "Pmmm, No. 47", "vol_a3_per_fu": 57.5, "magnetic_moment_mub_per_cell": 0.00}

***

C | {"formula": "AlSiMo2", "functional": "PBEsol", "state": "relaxed", "lattice": [[-1.911, 1.911, 3.931], [1.911, -1.911, 3.931], [1.911, 1.911, -3.931]], "species": ["Al", "Si", "Mo", "Mo"], "fractional_positions": [[0.000, 0.000, 0.000], [0.250, 0.750, 0.500], [0.500, 0.500, 0.000], [0.750, 0.250, 0.500]], "spacegroup": "I-4m2, No. 119", "vol_a3_per_fu": 57.4, "magnetic_moment_mub_per_cell": 0.00}

***

Q: Which of them is the most stable? A: A.

***

A | {"formula": "AlSiMo2", "functional": "PBEsol", "state": "relaxed", "lattice": [[0.000, 3.047, 3.047], [3.047, 0.000, 3.047], [3.047, 3.047, 0.000]], "species": ["Al", "Si", "Mo", "Mo"], "fractional_positions": [[0.000, 0.000, 0.000], [0.250, 0.250, 0.250], [0.500, 0.500, 0.500], [0.750, 0.750, 0.750]], "spacegroup": "F-43m, No. 216", "vol_a3_per_fu": 56.6, "magnetic_moment_mub_per_cell": 0.00}

***

B | {"formula": "AlSiMo2", "functional": "PBEsol", "state": "relaxed", "lattice": [[-3.414, 3.414, 2.668], [3.414, -3.414, 2.668], [3.414, 3.414, -2.668]], "species": ["Al", "Al", "Si", "Si", "Mo", "Mo", "Mo", "Mo"], "fractional_positions": [[0.000, 0.000, 0.000], [0.750, 0.250, 0.500], [0.250, 0.750, 0.500], [0.500, 0.500, 0.000], [0.152, 0.125, 0.527], [0.375, 0.848, 0.973], [0.598, 0.625, 0.473], [0.875, 0.402, 0.027]], "spacegroup": "I-42d, No. 122", "vol_a3_per_fu": 62.2, "magnetic_moment_mub_per_cell": 0.00}

***

Q: Which of them is the most stable? A: A.

***

A | {"formula": "SrAl2Mo", "functional": "PBEsol", "state": "relaxed", "lattice": [[-1.439, 2.607, 5.269], [1.439, -2.607, 5.269], [1.439, 2.607, -5.269]], "species": ["Sr", "Al", "Al", "Mo"], "fractional_positions": [[0.000, 0.000, 0.000], [0.282, 0.782, 0.500], [0.513, 0.513, 0.000], [0.721, 0.221, 0.500]], "spacegroup": "Imm2, No. 44", "vol_a3_per_fu": 79.0, "magnetic_moment_mub_per_cell": 0.00}

***

B | {"formula": "SrAl2Mo", "functional": "PBEsol", "state": "relaxed", "lattice": [[-2.083, 2.083, 4.628], [2.083, -2.083, 4.628], [2.083, 2.083, -4.628]], "species": ["Sr", "Al", "Al", "Mo"], "fractional_positions": [[0.000, 0.000, 0.000], [0.500, 0.500, 0.000], [0.750, 0.250, 0.500], [0.250, 0.750, 0.500]], "spacegroup": "I-4m2, No. 119", "vol_a3_per_fu": 80.3, "magnetic_moment_mub_per_cell": 0.00}

***

Q: Which of them is the most stable? A: A.

***

A | {"formula": "TaAlMo", "functional": "PBEsol", "state": "relaxed", "lattice": [[4.495, 0.000, 0.000], [-2.248, 3.893, 0.000], [0.000, 0.000, 2.750]], "species": ["Ta", "Al", "Mo"], "fractional_positions": [[0.000, 0.000, 0.000], [0.333, 0.667, 0.394], [0.667, 0.333, 0.724]], "spacegroup": "P3m1, No. 156", "vol_a3_per_fu": 48.1, "magnetic_moment_mub_per_cell": 0.00}

***

B | {"formula": "TaAlMo", "functional": "PBEsol", "state": "relaxed", "lattice": [[-1.665, 1.665, 4.357], [1.665, -1.665, 4.357], [1.665, 1.665, -4.357]], "species": ["Ta", "Al", "Mo"], "fractional_positions": [[0.000, 0.000, 0.000], [0.679, 0.679, 0.000], [0.345, 0.345, 0.000]], "spacegroup": "I4mm, No. 107", "vol_a3_per_fu": 48.3, "magnetic_moment_mub_per_cell": 0.00}

***

Q: Which of them is the most stable? A: B.

***

A | {"formula": "AlTcMo", "functional": "PBEsol", "state": "relaxed", "lattice": [[0.000, 2.237, 6.469], [1.516, 0.000, 6.469], [1.516, 2.237, 0.000]], "species": ["Al", "Tc", "Mo"], "fractional_positions": [[0.000, 0.000, 0.000], [0.336, 0.336, 0.664], [0.671, 0.671, 0.329]], "spacegroup": "Fmm2, No. 42", "vol_a3_per_fu": 43.9, "magnetic_moment_mub_per_cell": 0.00}

***

B | {"formula": "AlTcMo", "functional": "PBEsol", "state": "relaxed", "lattice": [[-1.535, 1.535, 4.590], [1.535, -1.535, 4.590], [1.535, 1.535, -4.590]], "species": ["Al", "Tc", "Mo"], "fractional_positions": [[0.000, 0.000, 0.000], [0.331, 0.331, 0.000], [0.679, 0.679, 0.000]], "spacegroup": "I4mm, No. 107", "vol_a3_per_fu": 43.2, "magnetic_moment_mub_per_cell": 0.00}

***

Q: Which of them is the most stable? A: B.

***

A | {"formula": "AlTeMo2", "functional": "PBEsol", "state": "relaxed", "lattice": [[3.119, 0.000, 0.000], [0.000, 4.683, 0.000], [0.000, 0.000, 4.594]], "species": ["Al", "Te", "Mo", "Mo"], "fractional_positions": [[0.000, 0.000, 0.000], [0.500, 0.500, 0.181], [0.000, 0.500, 0.689], [0.500, 0.000, 0.508]], "spacegroup": "Pmm2, No. 25", "vol_a3_per_fu": 67.1, "magnetic_moment_mub_per_cell": 0.00}

***

B | {"formula": "AlTeMo2", "functional": "PBEsol", "state": "relaxed", "lattice": [[1.645, -2.401, 0.000], [1.645, 2.401, 0.000], [0.000, 0.000, 9.119]], "species": ["Al", "Te", "Mo", "Mo"], "fractional_positions": [[0.000, 0.000, 0.000], [0.500, 0.500, 0.297], [0.000, 0.000, 0.557], [0.500, 0.500, 0.775]], "spacegroup": "Cmm2, No. 35", "vol_a3_per_fu": 72.0, "magnetic_moment_mub_per_cell": 0.00}

***

Q: Which of them is the most stable? A: A.